Density functional theory data (GGA-PBE) for NaNdGa2 after structural relaxation.

- E: -3.332 eV per atom
- Calculated formation energy: -1.19 eV/f.u.

The structure in POSCAR format:
```
NaNdGa2
1.0
3.8129 0.0000 0.0000
0.0000 5.0354 0.0000
0.0000 0.0000 5.0354
Na Ga Nd
1 2 1
direct
0.5000 0.5000 0.5000
0.0000 0.0000 0.5000
0.0000 0.5000 0.0000
0.5000 0.0000 0.0000
```

=====

Density functional theory data (GGA-PBE) for Tb5Pr12Tm2 after structural relaxation.

- E: -4.582 eV per atom
- Offset from the most stable computed form: 0 meV/atom
- Calculated formation energy: 2.39 eV/f.u.

The structure in POSCAR format:
```
Tb5Pr12Tm2
1.0
10.7490 0.0000 0.0000
-5.3745 7.6247 -0.1897
0.0000 0.8014 8.1121
Pr Tm Tb
12 2 5
direct
0.3792 0.2136 0.6156
0.4068 0.3664 0.2078
0.8344 0.2136 0.6156
0.1656 0.7864 0.3844
0.8720 0.7441 0.1024
0.5551 0.1101 0.2872
0.5932 0.6336 0.7922
0.0403 0.6336 0.7922
0.6208 0.7864 0.3844
0.1280 0.2559 0.8976
0.4449 0.8899 0.7128
0.9597 0.3664 0.2078
0.7271 0.0000 0.0000
0.2729 0.0000 0.0000
0.0000 0.0000 0.5000
0.6566 0.3132 0.9038
0.7588 0.5176 0.4863
0.2412 0.4824 0.5137
0.3434 0.6868 0.0962
```

=====

Density functional theory data (GGA-PBE) for Pm2NbAs3Rh4 after structural relaxation.

- E: -7.168 eV per atom
- Calculated formation energy: -8.76 eV/f.u.

The structure in POSCAR format:
```
Pm2NbAs3Rh4
1.0
-3.0375 -0.6830 -2.7509
-2.1115 -2.1446 2.8640
-4.9074 9.0629 3.1683
Rh Pm As Nb
4 2 3 1
direct
0.5000 0.0000 0.6372
0.5000 0.5000 0.0000
0.0000 0.0000 0.0000
0.0000 0.5000 0.3628
0.0000 0.5000 0.7670
0.5000 0.0000 0.2330
0.0000 0.5000 0.1367
0.0000 0.0000 0.5000
0.5000 0.0000 0.8633
0.5000 0.5000 0.5000
```

=====

Density functional theory data (GGA-PBE) for Sr2TlCr after structural relaxation.

- E: -3.663 eV per atom
- Calculated formation energy: 0.70 eV/f.u.

The structure in POSCAR format:
```
Sr2TlCr
1.0
5.7415 -0.0099 -0.0041
-5.7392 7.0107 -0.0001
0.0042 2.2922 3.2813
Cr Tl Sr
1 1 2
direct
0.5000 0.0000 0.5000
0.5000 0.5000 0.0000
0.0000 0.0000 0.0000
0.0000 0.5000 0.5000
```

=====

Density functional theory data (GGA-PBE) for LiNbZn after structural relaxation.

- E: -4.360 eV per atom
- Offset from the most stable computed form: 109 meV/atom
- Calculated formation energy: 0.18 eV/f.u.

The structure in POSCAR format:
```
LiNbZn
1.0
15.1421 0.0000 -0.0651
5.8054 1.3018 -2.5168
-5.8054 1.3018 2.5168
Zn Li Nb
2 2 2
direct
0.7271 0.7771 0.2229
0.2729 0.2229 0.7771
0.4223 0.7411 0.2589
0.5777 0.2589 0.7411
0.0561 0.7903 0.2097
0.9439 0.2097 0.7903
```

=====

Density functional theory data (GGA-PBE) for TaIr2Cl after structural relaxation.

- E: -7.763 eV per atom
- Offset from the most stable computed form: 105 meV/atom

The structure in POSCAR format:
```
TaIr2Cl
1.0
-1.4116 2.1932 1.1341
0.2021 -1.1993 2.5709
7.7262 4.2595 1.3796
Ir Ta Cl
2 1 1
direct
0.0000 0.0000 0.0640
0.5000 0.5000 0.2743
0.0000 0.0000 0.4878
0.5000 0.5000 0.6739
```

=====

Density functional theory data (GGA-PBE) for NpVTc after structural relaxation.

- E: -10.478 eV per atom
- Offset from the most stable computed form: 57 meV/atom
- Calculated formation energy: 0.99 eV/f.u.

The structure in POSCAR format:
```
NpVTc
1.0
3.6074 0.0000 0.0000
0.0000 3.6074 0.0000
-1.8037 -1.8037 3.8994
Np Tc V
1 1 1
direct
0.9440 0.9440 0.8880
0.2627 0.2627 0.5254
0.6433 0.6433 0.2865
```

=====

Density functional theory data (GGA-PBE) for Y3HgPd after structural relaxation.

- E: -5.157 eV per atom
- Offset from the most stable computed form: 0 meV/atom
- Calculated formation energy: -0.90 eV/f.u.

The structure in POSCAR format:
```
Y3HgPd
1.0
5.3998 0.0000 0.0000
0.0000 5.3998 0.0000
0.0000 0.0000 5.3998
Hg Y Pd
1 3 1
direct
0.5000 0.5000 0.5000
0.0000 0.5000 0.0000
0.0000 0.0000 0.5000
0.5000 0.0000 0.0000
0.0000 0.0000 0.0000
```

=====

Density functional theory data (GGA-PBE) for KBeW2 after structural relaxation.

- E: -6.837 eV per atom
- Calculated formation energy: 3.38 eV/f.u.

The structure in POSCAR format:
```
KBeW2
1.0
2.7499 -0.0078 0.0000
-0.8450 2.6169 0.0000
0.0000 0.0000 10.0563
W Be K
2 1 1
direct
0.0000 0.0000 0.0473
0.5000 0.5000 0.2671
0.0000 0.0000 0.4501
0.5000 0.5000 0.7355
```

=====

Density functional theory data (GGA-PBE) for Li2MgAs after structural relaxation.

- E: -3.052 eV per atom
- Offset from the most stable computed form: 1 meV/atom
- Calculated formation energy: -2.14 eV/f.u.

The structure in POSCAR format:
```
Li2MgAs
1.0
6.2187 0.0000 0.0018
0.0000 4.1548 0.0000
-3.0782 0.0000 5.7865
As Mg Li
2 2 4
direct
0.8542 0.0000 0.7908
0.5228 0.5000 0.1467
0.2670 0.0000 0.2162
0.8590 0.0000 0.3795
0.4644 0.0000 0.8491
0.8702 0.5000 0.0432
0.1032 0.5000 0.7775
0.5814 0.5000 0.5694
```

=====

Density functional theory data (GGA-PBE) for Ba2TlHg8 after structural relaxation.

- E: -1.093 eV per atom
- Offset from the most stable computed form: 0 meV/atom
- Calculated formation energy: -3.40 eV/f.u.

The structure in POSCAR format:
```
Ba2TlHg8
1.0
5.0868 -0.0530 -2.2478
-0.9038 6.5133 -4.5006
-1.1461 -1.1061 11.5227
Hg Ba Tl
8 2 1
direct
0.3576 0.8580 0.6076
0.6424 0.1420 0.3924
0.1281 0.3292 0.3218
0.8719 0.6708 0.6782
0.8246 0.3187 0.0113
0.9763 0.8498 0.2362
0.1754 0.6813 0.9887
0.0237 0.1502 0.7638
0.5869 0.6281 0.3099
0.4131 0.3719 0.6901
0.5000 0.0000 0.0000
```

=====

Density functional theory data (GGA-PBE) for PrDyY2N4 after structural relaxation.

- E: -8.517 eV per atom

The structure in POSCAR format:
```
PrDyY2N4
1.0
-3.4516 -0.7549 0.0382
1.0970 -5.1719 -3.0842
0.3093 -1.1103 6.0106
Y Pr N Dy
2 1 4 1
direct
0.5000 0.0000 0.5000
0.0000 0.5000 0.5000
0.5000 0.5000 0.0000
0.5000 0.7548 0.7467
0.0000 0.7588 0.2582
0.5000 0.2452 0.2533
0.0000 0.2412 0.7418
0.0000 0.0000 0.0000
```